Here is a geometry-optimized Pm4GeAsI2 structure from Alexandria via LeMat-Bulk. Energies are from PBE.

For the density of states at the Fermi level, the calculation gives 0.378 states/eV per atom. As for the uncorrected formation energy: -1.164 eV per atom.

It has space group P2/m (No. 10), with a = 7.4609 Å, b = 4.3179 Å, c = 8.0254 Å, α = 90.00°, β = 108.10° and γ = 90.00°. The asymmetric unit holds Pm at (0.2303, 0.0000, 0.1963), Pm at (0.2672, 0.5000, 0.8052), Ge at (0.0000, 0.5000, 0.0000), As at (0.5000, 0.0000, 0.0000), I at (0.0000, 0.0000, 0.5000) and I at (0.5000, 0.5000, 0.5000).